Entry from Alexandria via LeMat-Bulk: crystalline Si3OsC at its relaxed geometry (PBE-GGA).

a b c (Å): 3.918 3.918 3.918
angles (deg): 90.00 90.00 90.00
Space group Pm-3m (No. 221)
Unique sites:
1 Si 0.000 0.000 0.500 (multiplicity 3)
2 Os 0.500 0.500 0.500 (multiplicity 1)
3 C 0.000 0.000 0.000 (multiplicity 1)

Properties
- M_tot (Bohr magnetons per cell) = 0.0
- formation energy from raw total energies (eV/atom) = 0.825
- relative energy among the computed polymorphs (eV per formula unit) = 0.00
- density of states at the Fermi level (states/eV per atom) = 0.525
- uncorrected energy (eV for the cell shown) = -32.60